! Nd3YHg PBE relaxed; values from VASP
&SYSTEM
  ibrav = 0, nat = 10, ntyp = 3
/
ATOMIC_SPECIES
Nd 144.24 Nd.upf
Y 88.91 Y.upf
Hg 200.59 Hg.upf
CELL_PARAMETERS angstrom
5.7656 -3.8277 0.0000
5.7656 3.8277 0.0000
-2.9427 0.0000 7.5412
ATOMIC_POSITIONS crystal
Nd 0.0547 0.0547 0.2350
Nd 0.0894 0.5852 0.3535
Nd 0.4148 0.9106 0.6465
Nd 0.5852 0.0894 0.3535
Nd 0.9106 0.4148 0.6465
Nd 0.9453 0.9453 0.7650
Y 0.4398 0.4398 0.7578
Y 0.5602 0.5602 0.2422
Hg 0.2627 0.2627 0.9991
Hg 0.7373 0.7373 0.0009
! Relative energy among the computed polymorphs: 0.000 eV/atom
! Magnetization: 0.000 μB/f.u.
! Calculated formation energy: -94 meV/atom